[1]
# Er2ScAg3 | Alexandria | GGA-PBE | relaxed
# Distance to the lowest polymorph of the same formula: 0.0073 eV/atom
# Formation energy: -0.30 eV/atom
# Symmetry: P-3m1 (164)
# Volume: 269 Å³ per cell
# Calculated total energy: -0.158 Ha/atom
data_Er2ScAg3
_space_group_name_H-M_alt 'P 1'
_space_group_IT_number 1
_cell_length_a 5.023
_cell_length_b 5.023
_cell_length_c 12.315
_cell_angle_alpha 90.00
_cell_angle_beta 90.00
_cell_angle_gamma 120.00
loop_
_space_group_symop_operation_xyz
'x,y,z'
loop_
_atom_site_label
_atom_site_fract_x
_atom_site_fract_y
_atom_site_fract_z
Er1 0.000 0.000 0.000
Er2 0.000 0.000 0.500
Er3 0.333 0.667 0.171
Er4 0.667 0.333 0.829
Sc1 0.333 0.667 0.665
Sc2 0.667 0.333 0.335
Ag1 0.000 0.000 0.254
Ag2 0.000 0.000 0.746
Ag3 0.333 0.667 0.418
Ag4 0.333 0.667 0.912
Ag5 0.667 0.333 0.088
Ag6 0.667 0.333 0.582

=====

[2]
# GaRuO4 | Alexandria | GGA-PBE | relaxed
# Formation energy from raw total energies: -1.23 eV/atom
# Symmetry: P2_1/c (14)
# Volume: 128 Å³ per cell
# Calculated total energy: -0.242 Ha/atom
data_GaRuO4
_space_group_name_H-M_alt 'P 1'
_space_group_IT_number 1
_cell_length_a 5.517
_cell_length_b 4.567
_cell_length_c 5.506
_cell_angle_alpha 90.00
_cell_angle_beta 112.51
_cell_angle_gamma 90.00
loop_
_space_group_symop_operation_xyz
'x,y,z'
loop_
_atom_site_label
_atom_site_fract_x
_atom_site_fract_y
_atom_site_fract_z
Ga1 0.000 0.000 0.000
Ga2 0.000 0.500 0.500
Ru1 0.500 0.000 0.500
Ru2 0.500 0.500 0.000
O1 0.158 0.192 0.350
O2 0.158 0.308 0.850
O3 0.352 0.706 0.658
O4 0.352 0.794 0.158
O5 0.648 0.206 0.842
O6 0.648 0.294 0.342
O7 0.842 0.692 0.150
O8 0.842 0.808 0.650

=====

Let's list total magnetization in order: 0.00 0.85 μB/f.u..